No. 1
An optimized crystal structure of CuTcRh2. Source: Alexandria, functional GGA-PBE.

The space group is No. 8. The formation energy comes out at 0.2 eV/f.u. The energy above the most stable polymorph in this dataset comes out at 2.76 kcal/mol of atoms.

a = 4.683 Å, b = 4.683 Å, c = 4.625 Å
α = 80.19°, β = 80.19°, γ = 33.81°
Fractional positions:
Rh1 0.998 0.998 0.980
Rh2 0.250 0.250 0.271
Tc1 0.504 0.504 0.487
Cu1 0.749 0.749 0.761



No. 2
An optimized crystal structure of AcAs2W. Source: Alexandria, functional GGA-PBE.

The space group is No. 123. The formation energy comes out at -0.7 eV/f.u. The energy above the most stable polymorph in this dataset comes out at 0.00 kcal/mol of atoms.

a = 3.372 Å, b = 3.372 Å, c = 7.371 Å
α = 90.00°, β = 90.00°, γ = 90.00°
Fractional positions:
Ac1 0.500 0.500 0.500
As1 0.000 0.000 0.194
As2 0.000 0.000 0.806
W1 0.500 0.500 0.000



No. 3
An optimized crystal structure of PmCdInIr. Source: Alexandria, functional GGA-PBE.

The space group is No. 216. The formation energy comes out at -1.1 eV/f.u.

a = 4.965 Å, b = 4.965 Å, c = 4.965 Å
α = 60.00°, β = 60.00°, γ = 60.00°
Fractional positions:
Ir1 0.250 0.250 0.250
In1 0.500 0.500 0.500
Pm1 0.000 0.000 0.000
Cd1 0.750 0.750 0.750



No. 4
An optimized crystal structure of GaB2As. Source: Alexandria, functional GGA-PBE.

The space group is No. 2. The formation energy comes out at 1.1 eV/f.u. The energy above the most stable polymorph in this dataset comes out at 1.16 kcal/mol of atoms.

a = 4.398 Å, b = 5.372 Å, c = 5.594 Å
α = 117.16°, β = 104.29°, γ = 94.63°
Fractional positions:
B1 0.994 0.536 0.662
B2 0.093 0.180 0.084
B3 0.907 0.820 0.916
B4 0.006 0.464 0.338
Ga1 0.540 0.177 0.363
Ga2 0.460 0.823 0.637
As1 0.262 0.302 0.820
As2 0.738 0.698 0.180



No. 5
An optimized crystal structure of Na4EuSi2Te6. Source: Alexandria, functional GGA-PBE.

As for the energy relative to the elements, uncorrected: -0.78 eV/atom. The space group is No. 5.

a = 7.707 Å, b = 7.707 Å, c = 8.523 Å
α = 81.33°, β = 81.33°, γ = 120.01°
Each line ends with the local moment (μB).
Fractional positions:
Si1 0.452 0.452 0.646  0.01
Si2 0.548 0.548 0.354  0.01
Te1 0.894 0.582 0.256  -0.01
Te2 0.266 0.265 0.260  -0.01
Te3 0.107 0.421 0.745  -0.01
Te4 0.418 0.106 0.744  -0.01
Te5 0.735 0.734 0.740  -0.01
Te6 0.579 0.893 0.255  -0.01
Na1 0.833 0.167 0.500  0.00
Na2 0.000 0.000 0.000  0.00
Na3 0.336 0.664 0.000  0.00
Na4 0.664 0.336 0.000  0.00
Eu1 0.167 0.833 0.500  6.85



No. 6
An optimized crystal structure of YInRhS2. Source: Alexandria, functional GGA-PBE.

As for the energy relative to the elements, uncorrected: 0.01 eV/atom. The space group is No. 123.

a = 5.252 Å, b = 5.127 Å, c = 5.252 Å
α = 90.00°, β = 90.00°, γ = 90.00°
Each line ends with the local moment (μB).
Fractional positions:
Y1 0.000 0.000 0.000  -0.03
In1 0.500 0.500 0.500  0.00
Rh1 0.000 0.500 0.000  0.61
S1 0.500 0.000 0.000  0.06
S2 0.000 0.000 0.500  0.03



no.,N(E_F) (states/eV per cell)
1,5.50
2,2.18
3,2.57
4,1.88
5,0.18
6,5.86